Below is a relaxed BeNiS crystal, with properties calculated at the PBE-GGA level.

Output
Crystal system ... triclinic
Raw formation energy ... -0.3182 eV/atom
VASP energy ... -4.86 eV/atom

CIF file:
```
data_BeNiS
_symmetry_space_group_name_H-M 'P 1'
_symmetry_Int_Tables_number 1
_cell_length_a 3.442
_cell_length_b 3.926
_cell_length_c 6.083
_cell_angle_alpha 82.57
_cell_angle_beta 87.65
_cell_angle_gamma 65.79
loop_
_symmetry_equiv_pos_as_xyz
'x,y,z'
loop_
_atom_site_label
_atom_site_fract_x
_atom_site_fract_y
_atom_site_fract_z
_atom_site_occupancy
Be1 0.000 0.000 0.000 1
Be2 0.449 0.027 0.483 1
Ni1 0.134 0.665 0.348 1
Ni2 0.723 0.416 0.651 1
S1 0.546 0.922 0.829 1
S2 0.832 0.276 0.286 1
```

---

Below is a relaxed BeNiS crystal, with properties calculated at the PBE-GGA level.

Output
Crystal system ... monoclinic
Raw formation energy ... -0.4061 eV/atom
VASP energy ... -4.95 eV/atom

CIF file:
```
data_BeNiS
_symmetry_space_group_name_H-M 'C 1 m 1'
_symmetry_Int_Tables_number 8
_cell_length_a 6.213
_cell_length_b 3.590
_cell_length_c 8.431
_cell_angle_alpha 90.00
_cell_angle_beta 109.01
_cell_angle_gamma 90.00
loop_
_symmetry_equiv_pos_as_xyz
'x,y,z'
'x,-y,z'
'x+1/2,y+1/2,z'
'x+1/2,-y+1/2,z'
loop_
_atom_site_label
_atom_site_fract_x
_atom_site_fract_y
_atom_site_fract_z
_atom_site_occupancy
Be1 0.000 0.000 0.000 1
Be2 0.136 0.000 0.304 1
Ni1 0.212 0.500 0.102 1
Ni2 0.288 0.000 0.897 1
S1 0.087 0.500 0.820 1
S2 0.334 0.500 0.375 1
```

---

Below is a relaxed BeNiS crystal, with properties calculated at the PBE-GGA level.

Output
Crystal system ... triclinic
Raw formation energy ... -0.4059 eV/atom
VASP energy ... -4.95 eV/atom

CIF file:
```
data_BeNiS
_symmetry_space_group_name_H-M 'P 1'
_symmetry_Int_Tables_number 1
_cell_length_a 3.590
_cell_length_b 3.590
_cell_length_c 8.177
_cell_angle_alpha 87.40
_cell_angle_beta 77.74
_cell_angle_gamma 60.01
loop_
_symmetry_equiv_pos_as_xyz
'x,y,z'
loop_
_atom_site_label
_atom_site_fract_x
_atom_site_fract_y
_atom_site_fract_z
_atom_site_occupancy
Be1 0.000 0.000 0.000 1
Be2 0.176 0.945 0.696 1
Ni1 0.451 0.298 0.798 1
Ni2 0.902 0.593 0.593 1
S1 0.292 0.347 0.072 1
S2 0.613 0.245 0.516 1
```

---

Below is a relaxed Be3NiS crystal, with properties calculated at the PBE-GGA level.

Output
Crystal system ... cubic
ΔE to the lowest computed polymorph ... 0.0000 eV/atom
Raw formation energy ... 0.6365 eV/atom
VASP energy ... -3.58 eV/atom

CIF file:
```
data_Be3NiS
_symmetry_space_group_name_H-M 'P m -3 m'
_symmetry_Int_Tables_number 221
_symmetry_space_group_name_Hall '-P 4 2 3'
_cell_length_a 4.020
_cell_length_b 4.020
_cell_length_c 4.020
_cell_angle_alpha 90.00
_cell_angle_beta 90.00
_cell_angle_gamma 90.00
loop_
_atom_site_label
_atom_site_fract_x
_atom_site_fract_y
_atom_site_fract_z
_atom_site_occupancy
Be1 0.000 0.000 0.500 1
Ni1 0.000 0.000 0.000 1
S1 0.500 0.500 0.500 1
```

---

Below is a relaxed BeNiS crystal, with properties calculated at the PBE-GGA level.

Output
Crystal system ... triclinic
Raw formation energy ... -0.3749 eV/atom
VASP energy ... -4.92 eV/atom

CIF file:
```
data_BeNiS
_symmetry_space_group_name_H-M 'P 1'
_symmetry_Int_Tables_number 1
_cell_length_a 3.576
_cell_length_b 3.787
_cell_length_c 7.584
_cell_angle_alpha 94.84
_cell_angle_beta 92.34
_cell_angle_gamma 118.14
loop_
_symmetry_equiv_pos_as_xyz
'x,y,z'
loop_
_atom_site_label
_atom_site_fract_x
_atom_site_fract_y
_atom_site_fract_z
_atom_site_occupancy
Be1 0.000 0.000 0.000 1
Be2 0.375 0.732 0.109 1
Ni1 0.064 0.074 0.313 1
Ni2 0.708 0.392 0.134 1
S1 0.504 0.031 0.864 1
S2 0.763 0.456 0.415 1
```

---

Below is a relaxed BeNiS2 crystal, with properties calculated at the PBE-GGA level.

Output
Crystal system ... trigonal
Raw formation energy ... -0.1714 eV/atom
VASP energy ... -4.61 eV/atom

CIF file:
```
data_BeNiS2
_symmetry_space_group_name_H-M 'R -3 m'
_symmetry_Int_Tables_number 166
_symmetry_space_group_name_Hall '-R 3 2"'
_cell_length_a 3.4711
_cell_length_b 3.4711
_cell_length_c 18.6299
_cell_angle_alpha 90.00
_cell_angle_beta 90.00
_cell_angle_gamma 120.00
loop_
_atom_site_label
_atom_site_fract_x
_atom_site_fract_y
_atom_site_fract_z
_atom_site_occupancy
Be1 0.0000 0.0000 0.0000 1
Ni1 0.0000 0.0000 0.5000 1
S1 0.0000 0.0000 0.1021 1
```

---

Below is a relaxed ScBeNiS2 crystal, with properties calculated at the PBE-GGA level.

Output
Crystal system ... tetragonal
Raw formation energy ... 0.2497 eV/atom
VASP energy ... -4.57 eV/atom

CIF file:
```
data_ScBeNiS2
_symmetry_space_group_name_H-M 'P 4/m m m'
_symmetry_Int_Tables_number 123
_symmetry_space_group_name_Hall '-P 4 2'
_cell_length_a 4.166
_cell_length_b 4.166
_cell_length_c 4.481
_cell_angle_alpha 90.00
_cell_angle_beta 90.00
_cell_angle_gamma 90.00
loop_
_atom_site_label
_atom_site_fract_x
_atom_site_fract_y
_atom_site_fract_z
_atom_site_occupancy
Sc1 0.000 0.000 0.000 1
Be1 0.000 0.000 0.500 1
Ni1 0.500 0.500 0.000 1
S1 0.000 0.500 0.500 1
```

---

Below is a relaxed Be2VNiS crystal, with properties calculated at the PBE-GGA level.

Output
Crystal system ... tetragonal
Raw formation energy ... 0.6649 eV/atom
VASP energy ... -4.63 eV/atom

CIF file:
```
data_Be2VNiS
_symmetry_space_group_name_H-M 'P 4/m m m'
_symmetry_Int_Tables_number 123
_symmetry_space_group_name_Hall '-P 4 2'
_cell_length_a 4.002
_cell_length_b 4.002
_cell_length_c 4.221
_cell_angle_alpha 90.00
_cell_angle_beta 90.00
_cell_angle_gamma 90.00
loop_
_atom_site_label
_atom_site_fract_x
_atom_site_fract_y
_atom_site_fract_z
_atom_site_occupancy
Be1 0.000 0.500 0.000 1
V1 0.000 0.000 0.500 1
Ni1 0.500 0.500 0.500 1
S1 0.500 0.500 0.000 1
```

---

Below is a relaxed BeZnNiS2 crystal, with properties calculated at the PBE-GGA level.

Output
Crystal system ... tetragonal
ΔE to the lowest computed polymorph ... 0.0000 eV/atom
Raw formation energy ... 0.3789 eV/atom
VASP energy ... -3.43 eV/atom

CIF file:
```
data_BeZnNiS2
_symmetry_space_group_name_H-M 'P 4/m m m'
_symmetry_Int_Tables_number 123
_symmetry_space_group_name_Hall '-P 4 2'
_cell_length_a 4.529
_cell_length_b 4.529
_cell_length_c 3.907
_cell_angle_alpha 90.00
_cell_angle_beta 90.00
_cell_angle_gamma 90.00
loop_
_atom_site_label
_atom_site_fract_x
_atom_site_fract_y
_atom_site_fract_z
_atom_site_occupancy
Be1 0.000 0.000 0.000 1
Zn1 0.500 0.500 0.000 1
Ni1 0.000 0.000 0.500 1
S1 0.000 0.500 0.500 1
```

---

Below is a relaxed BeZnNiS2 crystal, with properties calculated at the PBE-GGA level.

Output
Crystal system ... tetragonal
ΔE to the lowest computed polymorph ... 0.2869 eV/atom
Raw formation energy ... 0.6658 eV/atom
VASP energy ... -3.14 eV/atom

CIF file:
```
data_BeZnNiS2
_symmetry_space_group_name_H-M 'P 4/m m m'
_symmetry_Int_Tables_number 123
_symmetry_space_group_name_Hall '-P 4 2'
_cell_length_a 4.464
_cell_length_b 4.464
_cell_length_c 4.434
_cell_angle_alpha 90.00
_cell_angle_beta 90.00
_cell_angle_gamma 90.00
loop_
_atom_site_label
_atom_site_fract_x
_atom_site_fract_y
_atom_site_fract_z
_atom_site_occupancy
Be1 0.000 0.000 0.000 1
Zn1 0.500 0.500 0.000 1
Ni1 0.500 0.500 0.500 1
S1 0.000 0.500 0.500 1
```

---

Below is a relaxed BeNiSb2 crystal, with properties calculated at the PBE-GGA level.

Output
Crystal system ... orthorhombic
Raw formation energy ... 0.4232 eV/atom
VASP energy ... -4.01 eV/atom

CIF file:
```
data_BeNiSb2
_symmetry_space_group_name_H-M 'C m m m'
_symmetry_Int_Tables_number 65
_symmetry_space_group_name_Hall '-C 2 2'
_cell_length_a 4.050
_cell_length_b 4.871
_cell_length_c 7.337
_cell_angle_alpha 90.00
_cell_angle_beta 90.00
_cell_angle_gamma 90.00
loop_
_atom_site_label
_atom_site_fract_x
_atom_site_fract_y
_atom_site_fract_z
_atom_site_occupancy
Be1 0.000 0.000 0.000 1
Ni1 0.000 0.000 0.500 1
Sb1 0.000 0.500 0.259 1
```

---

Below is a relaxed BeNiSb2 crystal, with properties calculated at the PBE-GGA level.

Output
Crystal system ... monoclinic
Raw formation energy ... 0.3881 eV/atom
VASP energy ... -4.05 eV/atom

CIF file:
```
data_BeNiSb2
_symmetry_space_group_name_H-M 'P 1 2/m 1'
_symmetry_Int_Tables_number 10
_cell_length_a 3.046
_cell_length_b 3.370
_cell_length_c 7.281
_cell_angle_alpha 90.00
_cell_angle_beta 98.58
_cell_angle_gamma 90.00
loop_
_symmetry_equiv_pos_as_xyz
'x,y,z'
'-x,-y,-z'
'-x,y,-z'
'x,-y,z'
loop_
_atom_site_label
_atom_site_fract_x
_atom_site_fract_y
_atom_site_fract_z
_atom_site_occupancy
Be1 0.000 0.000 0.000 1
Ni1 0.500 0.000 0.500 1
Sb1 0.113 0.500 0.735 1
```

---

Below is a relaxed BeNi9Sb2 crystal, with properties calculated at the PBE-GGA level.

Output
Crystal system ... tetragonal
Raw formation energy ... -0.1546 eV/atom
VASP energy ... -5.49 eV/atom

CIF file:
```
data_BeNi9Sb2
_symmetry_space_group_name_H-M 'P 4/m m m'
_symmetry_Int_Tables_number 123
_symmetry_space_group_name_Hall '-P 4 2'
_cell_length_a 3.685
_cell_length_b 3.685
_cell_length_c 10.615
_cell_angle_alpha 90.00
_cell_angle_beta 90.00
_cell_angle_gamma 90.00
loop_
_atom_site_label
_atom_site_fract_x
_atom_site_fract_y
_atom_site_fract_z
_atom_site_occupancy
Be1 0.000 0.000 0.000 1
Ni1 0.000 0.500 0.145 1
Ni2 0.000 0.500 0.500 1
Ni3 0.500 0.500 0.000 1
Ni4 0.500 0.500 0.327 1
Sb1 0.000 0.000 0.318 1
```

---

Below is a relaxed BeNiSb crystal, with properties calculated at the PBE-GGA level.

Output
Crystal system ... cubic
ΔE to the lowest computed polymorph ... 0.3472 eV/atom
Raw formation energy ... 0.2290 eV/atom
VASP energy ... -4.31 eV/atom

CIF file:
```
data_BeNiSb
_symmetry_space_group_name_H-M 'F -4 3 m'
_symmetry_Int_Tables_number 216
_symmetry_space_group_name_Hall 'F -4 2 3'
_cell_length_a 5.825
_cell_length_b 5.825
_cell_length_c 5.825
_cell_angle_alpha 90.00
_cell_angle_beta 90.00
_cell_angle_gamma 90.00
loop_
_atom_site_label
_atom_site_fract_x
_atom_site_fract_y
_atom_site_fract_z
_atom_site_occupancy
Be1 0.000 0.000 0.000 1
Ni1 0.000 0.000 0.500 1
Sb1 0.250 0.250 0.750 1
```